(1)
Density functional theory data (GGA-PBE) for NbSbI2Br after structural relaxation.

- Total energy: -12.4 eV per cell
- Density of states at the Fermi level: 5.57 states/eV/cell
- Formation energy from raw total energies: 6.55 eV per formula unit
- Space group: P4/mmm, No. 123
- Spin magnetization: 2.552 μB/f.u.

abc: 5.838 5.838 5.531
angles: 90.00 90.00 90.00
Positions (direct):
Nb 0.000 0.000 0.000
Sb 0.500 0.500 0.000
I 0.000 0.500 0.500
I 0.500 0.000 0.500
Br 0.500 0.500 0.500

(2)
Density functional theory data (GGA-PBE) for NbSeIBr2 after structural relaxation.

- Total energy: -19.5 eV per cell
- Density of states at the Fermi level: 4.67 states/eV/cell
- Formation energy from raw total energies: -1.05 eV per formula unit
- Space group: P4/mmm, No. 123
- Spin magnetization: 0.000 μB/f.u.

abc: 5.212 5.212 5.112
angles: 90.00 90.00 90.00
Positions (direct):
Nb 0.000 0.000 0.000
Se 0.000 0.000 0.500
I 0.500 0.500 0.500
Br 0.000 0.500 0.000
Br 0.500 0.000 0.000

(3)
Density functional theory data (GGA-PBE) for NbSeIBr2 after structural relaxation.

- Total energy: -12.9 eV per cell
- Density of states at the Fermi level: 6.61 states/eV/cell
- Formation energy from raw total energies: 5.51 eV per formula unit
- Space group: P4/mmm, No. 123
- Spin magnetization: 3.687 μB/f.u.

abc: 5.669 5.669 5.503
angles: 90.00 90.00 90.00
Positions (direct):
Nb 0.000 0.000 0.000
Se 0.500 0.500 0.000
I 0.500 0.500 0.500
Br 0.000 0.500 0.500
Br 0.500 0.000 0.500

(4)
Density functional theory data (GGA-PBE) for NbTe2IBr after structural relaxation.

- Total energy: -19.4 eV per cell
- Density of states at the Fermi level: 5.95 states/eV/cell
- Formation energy from raw total energies: 0.16 eV per formula unit
- Space group: P4/mmm, No. 123
- Spin magnetization: 0.000 μB/f.u.

abc: 5.404 5.404 5.565
angles: 90.00 90.00 90.00
Positions (direct):
Nb 0.000 0.000 0.000
Te 0.000 0.500 0.000
Te 0.500 0.000 0.000
I 0.000 0.000 0.500
Br 0.500 0.500 0.500

(5)
Density functional theory data (GGA-PBE) for NbTe2IBr after structural relaxation.

- Total energy: -13.3 eV per cell
- Density of states at the Fermi level: 6.73 states/eV/cell
- Formation energy from raw total energies: 6.23 eV per formula unit
- Space group: P4/mmm, No. 123
- Spin magnetization: 2.139 μB/f.u.

abc: 5.639 5.639 5.544
angles: 90.00 90.00 90.00
Positions (direct):
Nb 0.000 0.000 0.000
Te 0.000 0.500 0.500
Te 0.500 0.000 0.500
I 0.500 0.500 0.000
Br 0.500 0.500 0.500

(6)
Density functional theory data (GGA-PBE) for NbTl2I2Br4 after structural relaxation.

- Total energy: -31.4 eV per cell
- Density of states at the Fermi level: 5.58 states/eV/cell
- Formation energy from raw total energies: -6.77 eV per formula unit
- Space group: C2/m, No. 12
- Spin magnetization: 1.001 μB/f.u.

abc: 7.811 7.811 7.598
angles: 118.09 118.09 57.44
Positions (direct):
Nb 0.000 0.000 0.000
Tl 0.251 0.251 0.799
Tl 0.749 0.749 0.201
I 0.239 0.239 0.316
I 0.761 0.761 0.684
Br 0.205 0.720 0.199
Br 0.280 0.795 0.801
Br 0.720 0.205 0.199
Br 0.795 0.280 0.801

(7)
Density functional theory data (GGA-PBE) for Nb2TlIBr after structural relaxation.

- Total energy: -20.2 eV per cell
- Density of states at the Fermi level: 5.68 states/eV/cell
- Formation energy from raw total energies: 5.56 eV per formula unit
- Space group: P4/mmm, No. 123
- Spin magnetization: 3.044 μB/f.u.

abc: 4.882 4.882 7.133
angles: 90.00 90.00 90.00
Positions (direct):
Nb 0.000 0.500 0.000
Nb 0.500 0.000 0.000
Tl 0.000 0.000 0.500
I 0.500 0.500 0.500
Br 0.500 0.500 0.000

(8)
Density functional theory data (GGA-PBE) for NbTl2I4Br2 after structural relaxation.

- Total energy: -30.1 eV per cell
- Density of states at the Fermi level: 4.16 states/eV/cell
- Formation energy from raw total energies: -5.74 eV per formula unit
- Space group: C2/m, No. 12
- Spin magnetization: 1.002 μB/f.u.

abc: 7.772 7.772 8.178
angles: 121.36 121.36 63.86
Positions (direct):
Nb 0.000 0.000 0.000
Tl 0.252 0.252 0.761
Tl 0.748 0.748 0.239
I 0.200 0.713 0.197
I 0.287 0.800 0.803
I 0.713 0.200 0.197
I 0.800 0.287 0.803
Br 0.238 0.238 0.307
Br 0.762 0.762 0.693